DFT (GGA-PBE) results for Mg3Zn4Ru2 after structural relaxation.

uncorrected energy: -58.4 eV for the cell shown
spin magnetization: 0.00 μB/f.u.
calculated formation energy: -0.09 eV/atom

CIF file:
```
data_Mg3Zn4Ru2
_chemical_formula_sum 'Mg6 Zn8 Ru4'
_space_group_name_H-M_alt 'C 1 2/m 1'
_space_group_IT_number 12
_space_group_name_Hall '-C 2y'
_cell_length_a 7.6361
_cell_length_b 4.4034
_cell_length_c 8.2286
_cell_angle_alpha 90.00
_cell_angle_beta 90.21
_cell_angle_gamma 90.00
loop_
_atom_site_label
_atom_site_type_symbol
_atom_site_fract_x
_atom_site_fract_y
_atom_site_fract_z
Mg1 Mg 0.0000 0.0000 0.0000
Mg2 Mg 0.1667 0.5000 0.5726
Zn1 Zn 0.9998 0.0000 0.3214
Zn2 Zn 0.1669 0.5000 0.8948
Ru1 Ru 0.1663 0.5000 0.2200
```